NaPtAu3Se4 | GGA-PBE | optimized geometry

Lattice parameters (Å, degrees): 6.2563 6.2563 6.2563 90.00 90.00 90.00
Fractional coordinates of all 9 atoms:
Na  0.0000  0.0000  0.0000
Pt  0.5000  0.5000  0.5000
Au  0.0000  0.5000  0.5000
Au  0.5000  0.0000  0.5000
Au  0.5000  0.5000  0.0000
Se  0.2679  0.2679  0.2679
Se  0.2679  0.7321  0.7321
Se  0.7321  0.2679  0.7321
Se  0.7321  0.7321  0.2679

Computed properties:
The calculation puts the total energy at -0.2533 Ry/atom.

Li4InSiNi2 | GGA-PBE | optimized geometry

Lattice parameters (Å, degrees): 4.1244 4.1244 6.0687 90.00 90.00 90.00
Fractional coordinates of all 8 atoms:
Li  0.0000  0.0000  0.0000
Li  0.0000  0.5000  0.2288
Li  0.5000  0.0000  0.7712
Li  0.5000  0.5000  0.5000
In  0.0000  0.0000  0.5000
Si  0.5000  0.5000  0.0000
Ni  0.0000  0.5000  0.7885
Ni  0.5000  0.0000  0.2115

Computed properties:
The calculation puts the total energy at -0.2686 Ry/atom.

Zn2NiSn | GGA-PBE | optimized geometry

Lattice parameters (Å, degrees): 6.3435 6.3435 6.3435 90.00 90.00 90.00
Fractional coordinates of all 16 atoms:
Zn  0.0000  0.0000  0.0000
Zn  0.0000  0.5000  0.5000
Zn  0.2500  0.2500  0.2500
Zn  0.2500  0.7500  0.7500
Zn  0.5000  0.0000  0.5000
Zn  0.5000  0.5000  0.0000
Zn  0.7500  0.2500  0.7500
Zn  0.7500  0.7500  0.2500
Ni  0.0000  0.0000  0.5000
Ni  0.0000  0.5000  0.0000
Ni  0.5000  0.0000  0.0000
Ni  0.5000  0.5000  0.5000
Sn  0.2500  0.2500  0.7500
Sn  0.2500  0.7500  0.2500
Sn  0.7500  0.2500  0.2500
Sn  0.7500  0.7500  0.7500

Computed properties:
The calculation puts the total energy at -0.2141 Ry/atom.

TlAgSe2 | GGA-PBE | optimized geometry

Lattice parameters (Å, degrees): 10.0104 10.0104 7.9587 90.70 90.70 117.90
Fractional coordinates of all 24 atoms:
Tl  0.1381  0.8453  0.7493
Tl  0.1547  0.8619  0.2507
Tl  0.4397  0.4397  0.7452
Tl  0.5603  0.5603  0.2548
Tl  0.8453  0.1381  0.7493
Tl  0.8619  0.1547  0.2507
Ag  0.2156  0.5079  0.2940
Ag  0.2273  0.2273  0.0091
Ag  0.4921  0.7844  0.7060
Ag  0.5079  0.2156  0.2940
Ag  0.7727  0.7727  0.9909
Ag  0.7844  0.4921  0.7060
Se  0.0951  0.3836  0.0032
Se  0.1406  0.2804  0.5087
Se  0.2732  0.7268  0.5000
Se  0.2804  0.1406  0.5087
Se  0.3408  0.6592  0.0000
Se  0.3836  0.0951  0.0032
Se  0.6164  0.9049  0.9968
Se  0.6592  0.3408  0.0000
Se  0.7196  0.8594  0.4913
Se  0.7268  0.2732  0.5000
Se  0.8594  0.7196  0.4913
Se  0.9049  0.6164  0.9968

Computed properties:
The calculation puts the total energy at -0.2297 Ry/atom.

BaZn2SiGe | GGA-PBE | optimized geometry

Lattice parameters (Å, degrees): 4.5494 4.5494 10.3805 90.00 90.00 90.00
Fractional coordinates of all 10 atoms:
Ba  0.0000  0.0000  0.0000
Ba  0.5000  0.5000  0.5000
Zn  0.0000  0.5000  0.2529
Zn  0.0000  0.5000  0.7529
Zn  0.5000  0.0000  0.2529
Zn  0.5000  0.0000  0.7529
Si  0.0000  0.0000  0.3752
Si  0.5000  0.5000  0.8752
Ge  0.0000  0.0000  0.6190
Ge  0.5000  0.5000  0.1190

Computed properties:
The calculation puts the total energy at -0.2378 Ry/atom.

NaAlCoTe3 | GGA-PBE | optimized geometry

Lattice parameters (Å, degrees): 8.4309 4.0263 9.5199 90.00 98.77 90.00
Fractional coordinates of all 12 atoms:
Na  0.1886  0.2500  0.2811
Na  0.8114  0.7500  0.7189
Al  0.3450  0.7500  0.8769
Al  0.6550  0.2500  0.1231
Co  0.0492  0.2500  0.5843
Co  0.9508  0.7500  0.4157
Te  0.1053  0.2500  0.8509
Te  0.2176  0.7500  0.5742
Te  0.4323  0.7500  0.1632
Te  0.5677  0.2500  0.8368
Te  0.7824  0.2500  0.4258
Te  0.8947  0.7500  0.1491

Computed properties:
The calculation puts the total energy at -0.2914 Ry/atom.

> The lowest total energy belongs to which entry?

NaAlCoTe3

> Which formula does entry 4 have?

TlAgSe2

> Which of these has the lowest total energy?

NaAlCoTe3